Computed, not measured: a relaxed structure of MnZn4Pt at the GGA-PBE level of DFT.

a = 11.395 Å, b = 3.920 Å, c = 3.924 Å
α = 90.00°, β = 90.17°, γ = 90.00°
Sites, in units of the cell vectors:
Mn1 0.000 0.000 0.000
Mn2 0.500 0.500 0.000
Zn1 0.163 0.000 0.499
Zn2 0.168 0.500 0.000
Zn3 0.332 0.000 0.000
Zn4 0.337 0.500 0.501
Zn5 0.663 0.500 0.499
Zn6 0.668 0.000 0.000
Zn7 0.832 0.500 0.000
Zn8 0.837 0.000 0.501
Pt1 0.000 0.500 0.500
Pt2 0.500 0.000 0.500

Results
Formation energy   -105 kJ/mol of formula units
Electronic total energy   -3.57 eV per atom
Energy relative to the lowest polymorph listed for this composition   23 meV/atom
Crystal system   monoclinic
Calculated volume   14.6 A^3/atom